GaGePd | Alexandria | PBE | optimized geometry; energy relative to the lowest polymorph listed for this composition = 212 meV/atom; density of states at the Fermi level = 0.43 states/eV per atom; electronic total energy = -4.41 eV/atom; volume = 17.09 Å³/atom
1.0
-0.722 2.796 -0.204
-3.867 -1.148 -2.045
0.153 0.368 4.505
Ge Ga Pd
1 1 1
Cartesian
-3.012 1.233 0.002
-1.309 0.334 2.287
-0.116 0.449 -0.033